Computed, not measured: SrAcTe2 after structural relaxation at the GGA-PBE level of DFT.

Output
energy relative to the elements, uncorrected	-1.599	eV per atom
Fermi-level density of states	6.9	states/eV per cell
VASP energy	-0.3393	Ry/atom
ΔE to the lowest computed polymorph	0	meV/atom
total magnetic moment	0.00	Bohr magnetons per cell
mass density	6.32	g/cm3

```
data_SrAcTe2
_space_group_name_H-M_alt 'I 41/a m d'
_space_group_IT_number 141
_cell_length_a 6.689
_cell_length_b 6.689
_cell_length_c 13.382
_cell_angle_alpha 90.00
_cell_angle_beta 90.00
_cell_angle_gamma 90.00
loop_
_space_group_symop_operation_xyz
'x,y,z'
'-x,-y,-z'
'-y+1/4,x+3/4,z+1/4'
'y+1/4,-x+3/4,-z+1/4'
'-x+1/2,-y,z+1/2'
'x+1/2,y,-z+1/2'
'y+1/4,-x+1/4,z+3/4'
'-y+1/4,x+1/4,-z+3/4'
'x,-y,-z'
'-x,y,z'
'-y+1/4,-x+1/4,-z+3/4'
'y+1/4,x+1/4,z+3/4'
'-x+1/2,y,-z+1/2'
'x+1/2,-y,z+1/2'
'y+1/4,x+3/4,-z+1/4'
'-y+1/4,-x+3/4,z+1/4'
'x+1/2,y+1/2,z+1/2'
'-x+1/2,-y+1/2,-z+1/2'
'-y+3/4,x+1/4,z+3/4'
'y+3/4,-x+1/4,-z+3/4'
'-x,-y+1/2,z'
'x,y+1/2,-z'
'y+3/4,-x+3/4,z+1/4'
'-y+3/4,x+3/4,-z+1/4'
'x+1/2,-y+1/2,-z+1/2'
'-x+1/2,y+1/2,z+1/2'
'-y+3/4,-x+3/4,-z+1/4'
'y+3/4,x+3/4,z+1/4'
'-x,y+1/2,-z'
'x,-y+1/2,z'
'y+3/4,x+1/4,-z+3/4'
'-y+3/4,-x+1/4,z+3/4'
loop_
_atom_site_label
_atom_site_type_symbol
_atom_site_fract_x
_atom_site_fract_y
_atom_site_fract_z
Sr1 Sr 0.000 0.250 0.375
Ac1 Ac 0.000 0.250 0.875
Te1 Te 0.000 0.250 0.127
```

Computed, not measured: SrAc4Te5 after structural relaxation at the GGA-PBE level of DFT.

Output
energy relative to the elements, uncorrected	-1.530	eV per atom
Fermi-level density of states	11.4	states/eV per cell
VASP energy	-0.3611	Ry/atom
ΔE to the lowest computed polymorph	8	meV/atom
total magnetic moment	0.00	Bohr magnetons per cell
mass density	7.25	g/cm3

```
data_SrAc4Te5
_space_group_name_H-M_alt 'I 4/m'
_space_group_IT_number 87
_space_group_name_Hall '-I 4'
_cell_length_a 10.574
_cell_length_b 10.574
_cell_length_c 6.693
_cell_angle_alpha 90.00
_cell_angle_beta 90.00
_cell_angle_gamma 90.00
loop_
_atom_site_label
_atom_site_type_symbol
_atom_site_fract_x
_atom_site_fract_y
_atom_site_fract_z
Sr1 Sr 0.000 0.000 0.000
Ac1 Ac 0.099 0.302 0.500
Te1 Te 0.000 0.000 0.500
Te2 Te 0.099 0.296 0.000
```

Computed, not measured: SrAcTe2 after structural relaxation at the GGA-PBE level of DFT.

Output
energy relative to the elements, uncorrected	-1.595	eV per atom
Fermi-level density of states	5.6	states/eV per cell
VASP energy	-0.3391	Ry/atom
ΔE to the lowest computed polymorph	3	meV/atom
total magnetic moment	0.00	Bohr magnetons per cell
mass density	6.32	g/cm3

```
data_SrAcTe2
_space_group_name_H-M_alt 'R -3 m'
_space_group_IT_number 166
_space_group_name_Hall '-R 3 2"'
_cell_length_a 4.6995
_cell_length_b 4.6995
_cell_length_c 23.4966
_cell_angle_alpha 90.00
_cell_angle_beta 90.00
_cell_angle_gamma 120.00
loop_
_atom_site_label
_atom_site_type_symbol
_atom_site_fract_x
_atom_site_fract_y
_atom_site_fract_z
Sr1 Sr 0.0000 0.0000 0.0000
Ac1 Ac 0.0000 0.0000 0.5000
Te1 Te 0.0000 0.0000 0.2514
```

Computed, not measured: Sr3Ac4Te8 after structural relaxation at the GGA-PBE level of DFT.

Output
energy relative to the elements, uncorrected	-1.606	eV per atom
Fermi-level density of states	9.8	states/eV per cell
VASP energy	-0.3464	Ry/atom
total magnetic moment	0.00	Bohr magnetons per cell
mass density	6.07	g/cm3

```
data_Sr3Ac4Te8
_space_group_name_H-M_alt 'C 1 2/m 1'
_space_group_IT_number 12
_cell_length_a 13.355
_cell_length_b 13.385
_cell_length_c 9.466
_cell_angle_alpha 90.00
_cell_angle_beta 134.85
_cell_angle_gamma 90.00
loop_
_space_group_symop_operation_xyz
'x,y,z'
'-x,-y,-z'
'-x,y,-z'
'x,-y,z'
'x+1/2,y+1/2,z'
'-x+1/2,-y+1/2,-z'
'-x+1/2,y+1/2,-z'
'x+1/2,-y+1/2,z'
loop_
_atom_site_label
_atom_site_type_symbol
_atom_site_fract_x
_atom_site_fract_y
_atom_site_fract_z
Sr1 Sr 0.000 0.000 0.000
Sr2 Sr 0.250 0.250 0.000
Ac1 Ac 0.000 0.000 0.500
Ac2 Ac 0.000 0.500 0.000
Ac3 Ac 0.250 0.250 0.500
Te1 Te 0.000 0.249 0.000
Te2 Te 0.000 0.251 0.500
Te3 Te 0.248 0.500 0.501
Te4 Te 0.250 0.000 0.998
```